Record 1
12
Lattice="4.426 0.000 0.000 0.000 8.547 0.000 0.000 0.000 7.528" Properties=species:S:1:pos:R:3 comment="Na2SrCdP2 PBE relaxed" space_group="No. 26" e_form_ev_per_atom=-0.6044 pbc="T T T"
Na 0.000 0.697 0.000
Na 0.000 7.850 3.764
Na 2.213 1.415 2.447
Na 2.213 7.132 6.211
Sr 2.213 3.712 7.183
Sr 2.213 4.835 3.419
Cd 0.000 2.594 4.604
Cd 0.000 5.952 0.840
P 0.000 3.254 1.848
P 0.000 5.292 5.612
P 2.213 1.315 5.339
P 2.213 7.232 1.575

***

Record 2
5
Lattice="5.213 0.000 0.000 0.000 5.213 0.000 0.000 0.000 5.213" Properties=species:S:1:pos:R:3 comment="LaSn3Ir PBE relaxed" space_group="No. 221" e_form_ev_per_atom=-0.0730 pbc="T T T"
La 0.000 0.000 0.000
Sn 0.000 2.606 2.606
Sn 2.606 0.000 2.606
Sn 2.606 2.606 0.000
Ir 2.606 2.606 2.606

***

no.,volume (Å³/atom),calculated total energy (eV for the cell shown),N(E_F) (states/eV/cell)
1,23.73,-39.362,0.10
2,28.33,-26.162,3.58